No. 1
Here is an optimized crystal structure of CrIO2F from the Alexandria database. Energies are from GGA+U.

Final energy = -22.14 eV per formula unit
Spin magnetization = 4.86 μB per formula unit

a = 4.0341 Å, b = 4.0341 Å, c = 5.5124 Å
α = 90.00°, β = 90.00°, γ = 90.00°
Last column: nearest neighbours and their distance in Å.
Fractional positions:
I: 0.0000 0.0000 0.0000  4 O 2.02
Cr: 0.5000 0.5000 0.5000  4 F 2.85
O: 0.0000 0.5000 0.0000  2 I 2.02
O: 0.5000 0.0000 0.0000  2 I 2.02
F: 0.0000 0.0000 0.5000  2 I 2.76, 4 Cr 2.85

No. 2
Here is an optimized crystal structure of Rb2CrIF6 from the Alexandria database. Energies are from GGA+U.

Final energy = -45.41 eV per formula unit
Spin magnetization = 3.00 μB per formula unit

a = 7.1786 Å, b = 7.1786 Å, c = 6.5457 Å
α = 56.75°, β = 56.75°, γ = 90.00°
Last column: nearest neighbours and their distance in Å.
Fractional positions:
I: 0.0000 0.0000 0.0000  2 F 2.12
Cr: 0.5000 0.5000 0.0000  6 F 1.92-2.01
Rb: 0.7500 0.2500 0.5000  12 F 3.33-3.59
Rb: 0.2500 0.7500 0.5000  12 F 3.33-3.59
F: 0.2565 0.2565 0.4869  1 Cr 2.01, 1 I 2.12
F: 0.7435 0.7435 0.5131  1 Cr 2.01, 1 I 2.12
F: 0.3108 0.3108 0.0000  1 Cr 1.92
F: 0.6892 0.6892 0.0000  1 Cr 1.92
F: 0.6892 0.3108 0.0000  1 Cr 1.92
F: 0.3108 0.6892 0.0000  1 Cr 1.92

No. 3
Here is an optimized crystal structure of CrRhIF2 from the Alexandria database. Energies are from GGA+U.

Final energy = -23.72 eV per formula unit
Spin magnetization = 3.81 μB per formula unit

a = 4.0756 Å, b = 5.6970 Å, c = 4.0756 Å
α = 90.00°, β = 90.00°, γ = 90.00°
Last column: nearest neighbours and their distance in Å.
Fractional positions:
I: 0.5000 0.5000 0.5000  4 Cr 2.88
Cr: 0.0000 0.5000 0.0000  2 Rh 2.85, 4 I 2.88
Rh: 0.0000 0.0000 0.0000  4 F 2.04
F: 0.0000 0.0000 0.5000  2 Rh 2.04
F: 0.5000 0.0000 0.0000  2 Rh 2.04

No. 4
Here is an optimized crystal structure of CrSiI2F from the Alexandria database. Energies are from GGA+U.

Final energy = -20.21 eV per formula unit
Spin magnetization = 5.02 μB per formula unit

a = 5.7701 Å, b = 3.9968 Å, c = 5.7701 Å
α = 90.00°, β = 90.00°, γ = 90.00°
Last column: nearest neighbours and their distance in Å.
Fractional positions:
I: 0.0000 0.0000 0.5000  2 Si 2.89
I: 0.5000 0.0000 0.0000  2 Si 2.89
Cr: 0.5000 0.5000 0.5000  8 I 3.51
Si: 0.0000 0.0000 0.0000  2 F 2.00
F: 0.0000 0.5000 0.0000  2 Si 2.00

No. 5
Here is an optimized crystal structure of CrTeI2F from the Alexandria database. Energies are from GGA+U.

Final energy = -15.77 eV per formula unit
Spin magnetization = 4.26 μB per formula unit

a = 6.0195 Å, b = 6.0195 Å, c = 4.2234 Å
α = 90.00°, β = 90.00°, γ = 90.00°
Last column: nearest neighbours and their distance in Å.
Fractional positions:
I: 0.0000 0.5000 0.0000  2 F 3.01
I: 0.5000 0.0000 0.0000  2 F 3.01
Cr: 0.5000 0.5000 0.5000  8 I 3.68
Te: 0.0000 0.0000 0.5000  2 F 2.11
F: 0.0000 0.0000 0.0000  2 Te 2.11

No. 6
Here is an optimized crystal structure of CrTeI2F from the Alexandria database. Energies are from GGA+U.

Final energy = -15.41 eV per formula unit
Spin magnetization = 1.71 μB per formula unit

a = 5.4753 Å, b = 5.4753 Å, c = 5.4430 Å
α = 90.00°, β = 90.00°, γ = 90.00°
Last column: nearest neighbours and their distance in Å.
Fractional positions:
I: 0.0000 0.5000 0.0000  2 Cr 2.74
I: 0.5000 0.0000 0.0000  2 Cr 2.74
Cr: 0.0000 0.0000 0.0000  2 Te 2.72, 4 I 2.74
Te: 0.0000 0.0000 0.5000  2 Cr 2.72
F: 0.5000 0.5000 0.5000  8 I 3.86, 4 Te 3.87

No. 7
Here is an optimized crystal structure of CrTe2IF from the Alexandria database. Energies are from GGA+U.

Final energy = -17.25 eV per formula unit
Spin magnetization = 4.64 μB per formula unit

a = 4.6212 Å, b = 4.6212 Å, c = 7.3771 Å
α = 90.00°, β = 90.00°, γ = 90.00°
Last column: nearest neighbours and their distance in Å.
Fractional positions:
I: 0.0000 0.0000 0.5000  4 Cr 3.27
Cr: 0.5000 0.5000 0.5000  4 I 3.27
Te: 0.0000 0.5000 0.0000  2 F 2.31
Te: 0.5000 0.0000 0.0000  2 F 2.31
F: 0.0000 0.0000 0.0000  4 Te 2.31

No. 8
Here is an optimized crystal structure of TlCrI2F from the Alexandria database. Energies are from GGA+U.

Final energy = -20.50 eV per formula unit
Spin magnetization = 4.00 μB per formula unit

a = 6.0211 Å, b = 6.0211 Å, c = 4.0542 Å
α = 90.00°, β = 90.00°, γ = 90.00°
Last column: nearest neighbours and their distance in Å.
Fractional positions:
I: 0.0000 0.5000 0.0000  2 Cr 3.01
I: 0.5000 0.0000 0.0000  2 Cr 3.01
Cr: 0.0000 0.0000 0.0000  2 F 2.03
Tl: 0.5000 0.5000 0.5000  8 I 3.63, 2 Tl 4.05
F: 0.0000 0.0000 0.5000  2 Cr 2.03

No. 9
Here is an optimized crystal structure of CrInF4 from the Alexandria database. Energies are from GGA+U.

Final energy = -32.09 eV per formula unit
Spin magnetization = 2.99 μB per formula unit

a = 6.0963 Å, b = 6.8094 Å, c = 7.0133 Å
α = 115.46°, β = 102.06°, γ = 102.85°
Last column: nearest neighbours and their distance in Å.
Fractional positions:
Cr: 0.2501 0.0002 0.9998  6 F 1.93-1.99
Cr: 0.7499 0.9998 0.0002  6 F 1.93-1.99
In: 0.7550 0.6349 0.3819  4 F 2.56-2.59
In: 0.2450 0.3651 0.6181  4 F 2.56-2.59
F: 0.6098 0.7135 0.7164  1 Cr 1.93
F: 0.9981 0.8878 0.1050  2 Cr 1.98-1.99
F: 0.8899 0.2848 0.2852  1 Cr 1.93
F: 0.4940 0.8822 0.0996  2 Cr 1.98-1.99
F: 0.5060 0.1178 0.9004  2 Cr 1.98-1.99
F: 0.1101 0.7152 0.7148  1 Cr 1.93
F: 0.0019 0.1122 0.8950  2 Cr 1.98-1.99
F: 0.3902 0.2865 0.2836  1 Cr 1.93

No. 10
Here is an optimized crystal structure of CrInF3 from the Alexandria database. Energies are from GGA+U.

Final energy = -26.37 eV per formula unit
Spin magnetization = 4.00 μB per formula unit

a = 4.2612 Å, b = 4.2612 Å, c = 4.2612 Å
α = 90.00°, β = 90.00°, γ = 90.00°
Last column: nearest neighbours and their distance in Å.
Fractional positions:
Cr: 0.0000 0.0000 0.0000  6 F 2.13
F: 0.0000 0.5000 0.0000  2 Cr 2.13
F: 0.0000 0.0000 0.5000  2 Cr 2.13
F: 0.5000 0.0000 0.0000  2 Cr 2.13
In: 0.5000 0.5000 0.5000  12 F 3.01

No. 11
Here is an optimized crystal structure of CrInF2 from the Alexandria database. Energies are from GGA+U.

Final energy = -19.13 eV per formula unit
Spin magnetization = 5.00 μB per formula unit

a = 4.4925 Å, b = 4.4925 Å, c = 4.4925 Å
α = 60.00°, β = 60.00°, γ = 60.00°
Last column: nearest neighbours and their distance in Å.
Fractional positions:
Cr: 0.0000 0.0000 0.0000  8 F 2.75
F: 0.2500 0.2500 0.2500  4 In 2.75, 4 Cr 2.75
F: 0.7500 0.7500 0.7500  4 In 2.75, 4 Cr 2.75
In: 0.5000 0.5000 0.5000  8 F 2.75

No. 12
Here is an optimized crystal structure of CrInF2 from the Alexandria database. Energies are from GGA+U.

Final energy = -20.42 eV per formula unit
Spin magnetization = 4.27 μB per formula unit

a = 7.8411 Å, b = 7.8411 Å, c = 7.8411 Å
α = 24.98°, β = 24.98°, γ = 24.98°
Last column: nearest neighbours and their distance in Å.
Fractional positions:
Cr: 0.5000 0.5000 0.5000  6 F 2.18
F: 0.8759 0.8759 0.8759  3 Cr 2.18
F: 0.1241 0.1241 0.1241  3 Cr 2.18
In: 0.0000 0.0000 0.0000  2 F 2.83

Question: Among the records above, which one has the highest final energy?
Answer: number 6